(1)
First-principles (PBE) data for a relaxed LaAuS2 crystal, as listed in Alexandria via LeMat-Bulk.

Structure (CIF):
```
data_LaAuS2
_chemical_formula_sum 'La4 Au4 S8'
_cell_length_a 5.3653
_cell_length_b 5.3653
_cell_length_c 14.6878
_cell_angle_alpha 90.00
_cell_angle_beta 90.00
_cell_angle_gamma 90.00
_space_group_name_H-M_alt 'I 41/a m d'
_space_group_IT_number 141
loop_
_space_group_symop_operation_xyz
'x,y,z'
'-x,-y,-z'
'-y+1/4,x+3/4,z+1/4'
'y+1/4,-x+3/4,-z+1/4'
'-x+1/2,-y,z+1/2'
'x+1/2,y,-z+1/2'
'y+1/4,-x+1/4,z+3/4'
'-y+1/4,x+1/4,-z+3/4'
'x,-y,-z'
'-x,y,z'
'-y+1/4,-x+1/4,-z+3/4'
'y+1/4,x+1/4,z+3/4'
'-x+1/2,y,-z+1/2'
'x+1/2,-y,z+1/2'
'y+1/4,x+3/4,-z+1/4'
'-y+1/4,-x+3/4,z+1/4'
'x+1/2,y+1/2,z+1/2'
'-x+1/2,-y+1/2,-z+1/2'
'-y+3/4,x+1/4,z+3/4'
'y+3/4,-x+1/4,-z+3/4'
'-x,-y+1/2,z'
'x,y+1/2,-z'
'y+3/4,-x+3/4,z+1/4'
'-y+3/4,x+3/4,-z+1/4'
'x+1/2,-y+1/2,-z+1/2'
'-x+1/2,y+1/2,z+1/2'
'-y+3/4,-x+3/4,-z+1/4'
'y+3/4,x+3/4,z+1/4'
'-x,y+1/2,-z'
'x,-y+1/2,z'
'y+3/4,x+1/4,-z+3/4'
'-y+3/4,-x+1/4,z+3/4'
loop_
_atom_site_label
_atom_site_type_symbol
_atom_site_fract_x
_atom_site_fract_y
_atom_site_fract_z
La1 La 0.0000 0.2500 0.3750
Au1 Au 0.0000 0.2500 0.8750
S1 S 0.0000 0.2500 0.1715
```

Summary:
volume = 106 Å³/f.u.
DOS(E_F) = 1.3 states/eV/cell
crystal system = tetragonal
ΔE_f (raw) = -1183 meV per atom

(2)
First-principles (PBE) data for a relaxed GdErInOs crystal, as listed in Alexandria via LeMat-Bulk.

Structure (CIF):
```
data_GdErInOs
_chemical_formula_sum 'Gd4 Er4 In4 Os4'
_cell_length_a 7.1310
_cell_length_b 7.1310
_cell_length_c 7.1310
_cell_angle_alpha 90.00
_cell_angle_beta 90.00
_cell_angle_gamma 90.00
_space_group_name_H-M_alt 'F -4 3 m'
_space_group_IT_number 216
_space_group_name_Hall 'F -4 2 3'
loop_
_atom_site_label
_atom_site_type_symbol
_atom_site_fract_x
_atom_site_fract_y
_atom_site_fract_z
Gd1 Gd 0.0000 0.0000 0.0000
Er1 Er 0.0000 0.0000 0.5000
In1 In 0.2500 0.2500 0.7500
Os1 Os 0.2500 0.2500 0.2500
```

Summary:
volume = 91 Å³/f.u.
DOS(E_F) = 10.6 states/eV/cell
crystal system = cubic
calculated total energy = -134.15 eV for the cell shown

(3)
First-principles (PBE) data for a relaxed Cd2CuAu6 crystal, as listed in Alexandria via LeMat-Bulk.

Structure (CIF):
```
data_Cd2CuAu6
_chemical_formula_sum 'Cd4 Cu2 Au12'
_cell_length_a 12.4037
_cell_length_b 7.9755
_cell_length_c 4.0167
_cell_angle_alpha 90.00
_cell_angle_beta 108.77
_cell_angle_gamma 90.00
_space_group_name_H-M_alt 'C 1 2/m 1'
_space_group_IT_number 12
loop_
_space_group_symop_operation_xyz
'x,y,z'
'-x,-y,-z'
'-x,y,-z'
'x,-y,z'
'x+1/2,y+1/2,z'
'-x+1/2,-y+1/2,-z'
'-x+1/2,y+1/2,-z'
'x+1/2,-y+1/2,z'
loop_
_atom_site_label
_atom_site_type_symbol
_atom_site_fract_x
_atom_site_fract_y
_atom_site_fract_z
Cd1 Cd 0.1443 0.0000 0.1444
Cu1 Cu 0.0000 0.5000 0.5000
Au1 Au 0.0000 0.2911 0.0000
Au2 Au 0.1669 0.2688 0.6668
```

Summary:
volume = 188 Å³/f.u.
DOS(E_F) = 4.5 states/eV/cell
crystal system = monoclinic
calculated total energy = -51.67 eV for the cell shown

(4)
First-principles (PBE) data for a relaxed SmTl2IrO8 crystal, as listed in Alexandria via LeMat-Bulk.

Structure (CIF):
```
data_SmTl2IrO8
_chemical_formula_sum 'Sm1 Tl2 Ir1 O8'
_cell_length_a 5.0838
_cell_length_b 5.1257
_cell_length_c 6.8043
_cell_angle_alpha 91.02
_cell_angle_beta 91.20
_cell_angle_gamma 91.08
_space_group_name_H-M_alt 'P -1'
_space_group_IT_number 2
loop_
_space_group_symop_operation_xyz
'x,y,z'
'-x,-y,-z'
loop_
_atom_site_label
_atom_site_type_symbol
_atom_site_fract_x
_atom_site_fract_y
_atom_site_fract_z
Sm1 Sm 0.0000 0.0000 0.0000
Tl1 Tl 0.4861 0.4884 0.7476
Ir1 Ir 0.0000 0.0000 0.5000
O1 O 0.1859 0.8286 0.2937
O2 O 0.1961 0.8388 0.7081
O3 O 0.2586 0.2875 0.4980
O4 O 0.2927 0.3273 0.0103
```

Summary:
volume = 177 Å³/f.u.
DOS(E_F) = 6.3 states/eV/cell
crystal system = triclinic
ΔE_f (raw) = -1077 meV per atom